Entry 1:
Here is crystalline Ti4Al3W at its relaxed geometry from Alexandria via LeMat-Bulk. Energies are from PBE-GGA.

V	258.0	Å³/cell
formation energy	-235	kJ/mol of formula units
uncorrected energy	-116.4	eV per cell

CIF file:
```
data_Ti4Al3W
_cell_length_a 9.179
_cell_length_b 6.014
_cell_length_c 4.674
_cell_angle_alpha 90.00
_cell_angle_beta 90.00
_cell_angle_gamma 90.00
_symmetry_space_group_name_H-M 'P m m a'
_symmetry_Int_Tables_number 51
loop_
_symmetry_equiv_pos_as_xyz
'x,y,z'
'-x,-y,-z'
'-x+1/2,-y,z'
'x+1/2,y,-z'
'x+1/2,-y,-z'
'-x+1/2,y,z'
'-x,y,-z'
'x,-y,z'
loop_
_atom_site_label
_atom_site_fract_x
_atom_site_fract_y
_atom_site_fract_z
_atom_site_occupancy
Ti1 0.000 0.248 0.000 1
Ti2 0.250 0.248 0.419 1
Al1 0.000 0.500 0.500 1
Al2 0.250 0.000 0.905 1
Al3 0.250 0.500 0.912 1
W1 0.000 0.000 0.500 1
```

=====

Entry 2:
Here is crystalline NbHg2Bi at its relaxed geometry from Alexandria via LeMat-Bulk. Energies are from PBE-GGA.

V	308.5	Å³/cell
formation energy	234	kJ/mol of formula units
uncorrected energy	-36.4	eV per cell

CIF file:
```
data_NbHg2Bi
_cell_length_a 3.2098
_cell_length_b 3.2098
_cell_length_c 34.5807
_cell_angle_alpha 90.00
_cell_angle_beta 90.00
_cell_angle_gamma 120.00
_symmetry_space_group_name_H-M 'R -3 m'
_symmetry_Int_Tables_number 166
_symmetry_space_group_name_Hall '-R 3 2"'
loop_
_atom_site_label
_atom_site_fract_x
_atom_site_fract_y
_atom_site_fract_z
_atom_site_occupancy
Nb1 0.0000 0.0000 0.0000 1
Hg1 0.0000 0.0000 0.0824 1
Bi1 0.0000 0.0000 0.5000 1
```

=====

Entry 3:
Here is crystalline Ac6P5I at its relaxed geometry from Alexandria via LeMat-Bulk. Energies are from PBE-GGA.

V	767.8	Å³/cell
uncorrected energy	-141.2	eV per cell
energy relative to the elements, uncorrected	-1.44	eV per atom

CIF file:
```
data_Ac6P5I
_cell_length_a 7.796
_cell_length_b 13.475
_cell_length_c 7.759
_cell_angle_alpha 90.00
_cell_angle_beta 109.61
_cell_angle_gamma 90.00
_symmetry_space_group_name_H-M 'C 1 2/m 1'
_symmetry_Int_Tables_number 12
loop_
_symmetry_equiv_pos_as_xyz
'x,y,z'
'-x,-y,-z'
'-x,y,-z'
'x,-y,z'
'x+1/2,y+1/2,z'
'-x+1/2,-y+1/2,-z'
'-x+1/2,y+1/2,-z'
'x+1/2,-y+1/2,z'
loop_
_atom_site_label
_atom_site_fract_x
_atom_site_fract_y
_atom_site_fract_z
_atom_site_occupancy
Ac1 0.232 0.000 0.264 1
Ac2 0.233 0.179 0.739 1
P1 0.000 0.000 0.500 1
P2 0.000 0.167 0.000 1
P3 0.000 0.339 0.500 1
I1 0.000 0.500 0.000 1
```

=====

Entry 4:
Here is crystalline RbSmBr4 at its relaxed geometry from Alexandria via LeMat-Bulk. Energies are from PBE-GGA.

V	913.4	Å³/cell
uncorrected energy	-92.6	eV per cell
energy relative to the elements, uncorrected	-1.79	eV per atom
energy above the most stable polymorph in this dataset	0.0221	eV/atom

CIF file:
```
data_RbSmBr4
_cell_length_a 8.871
_cell_length_b 14.637
_cell_length_c 7.243
_cell_angle_alpha 90.00
_cell_angle_beta 103.79
_cell_angle_gamma 90.00
_symmetry_space_group_name_H-M 'C 1 2/c 1'
_symmetry_Int_Tables_number 15
loop_
_symmetry_equiv_pos_as_xyz
'x,y,z'
'-x,-y,-z'
'-x,y,-z+1/2'
'x,-y,z+1/2'
'x+1/2,y+1/2,z'
'-x+1/2,-y+1/2,-z'
'-x+1/2,y+1/2,-z+1/2'
'x+1/2,-y+1/2,z+1/2'
loop_
_atom_site_label
_atom_site_fract_x
_atom_site_fract_y
_atom_site_fract_z
_atom_site_occupancy
Rb1 0.000 0.140 0.250 1
Sm1 0.000 0.499 0.250 1
Br1 0.100 0.346 0.530 1
Br2 0.236 0.060 0.925 1
```

=====

Entry 5:
Here is crystalline TlAsPb3 at its relaxed geometry from Alexandria via LeMat-Bulk. Energies are from PBE-GGA.

V	183.3	Å³/cell
formation energy	162	kJ/mol of formula units
uncorrected energy	-16.5	eV per cell
energy above the most stable polymorph in this dataset	0.0000	eV/atom

CIF file:
```
data_TlAsPb3
_cell_length_a 5.680
_cell_length_b 5.680
_cell_length_c 5.680
_cell_angle_alpha 90.00
_cell_angle_beta 90.00
_cell_angle_gamma 90.00
_symmetry_space_group_name_H-M 'P m -3 m'
_symmetry_Int_Tables_number 221
_symmetry_space_group_name_Hall '-P 4 2 3'
loop_
_atom_site_label
_atom_site_fract_x
_atom_site_fract_y
_atom_site_fract_z
_atom_site_occupancy
Tl1 0.000 0.000 0.000 1
As1 0.500 0.500 0.500 1
Pb1 0.000 0.500 0.500 1
```

=====

Entry 6:
Here is crystalline La2SnH12Ru3 at its relaxed geometry from Alexandria via LeMat-Bulk. Energies are from PBE-GGA.

V	532.7	Å³/cell
uncorrected energy	-253.1	eV per cell

CIF file:
```
data_La2SnH12Ru3
_cell_length_a 6.3424
_cell_length_b 6.3424
_cell_length_c 15.2904
_cell_angle_alpha 90.00
_cell_angle_beta 90.00
_cell_angle_gamma 120.00
_symmetry_space_group_name_H-M 'R -3 m'
_symmetry_Int_Tables_number 166
_symmetry_space_group_name_Hall '-R 3 2"'
loop_
_atom_site_label
_atom_site_fract_x
_atom_site_fract_y
_atom_site_fract_z
_atom_site_occupancy
La1 0.0000 0.0000 0.1078 1
Sn1 0.0000 0.0000 0.5000 1
H1 0.0264 0.5132 0.3245 1
H2 0.0674 0.5337 0.8913 1
Ru1 0.0000 0.5000 0.0000 1
```